Material: TlCoOs2O8
Method: DFT, GGA+U
State: relaxed

Geometry as CIF:
```
data_TlCoOs2O8
_chemical_formula_sum 'Tl1 Co1 Os2 O8'
_cell_length_a 5.413
_cell_length_b 5.413
_cell_length_c 8.152
_cell_angle_alpha 90.00
_cell_angle_beta 90.00
_cell_angle_gamma 120.00
_space_group_name_H-M_alt 'P 1'
_space_group_IT_number 1
loop_
_space_group_symop_operation_xyz
'x,y,z'
loop_
_atom_site_label
_atom_site_type_symbol
_atom_site_fract_x
_atom_site_fract_y
_atom_site_fract_z
_atom_site_occupancy
O1 O 0.673 0.722 0.650 1
Co1 Co 0.000 0.000 0.500 1
O2 O 0.278 0.952 0.650 1
O3 O 0.327 0.278 0.350 1
Os1 Os 0.667 0.333 0.284 1
O4 O 0.333 0.667 0.933 1
O5 O 0.048 0.327 0.650 1
O6 O 0.722 0.048 0.350 1
O7 O 0.952 0.673 0.350 1
O8 O 0.667 0.333 0.067 1
Os2 Os 0.333 0.667 0.716 1
Tl1 Tl 0.000 0.000 0.000 1
```

* space group: P-3, No. 147
* theoretical density: 6.2 g cm⁻³
* raw total energy: -6.6884 eV per atom